Entry 1:
An optimized crystal structure of Sc3TlRe, computed with GGA-PBEsol.

Summary:
Total energy   -6.923 eV per atom
Calculated volume   25.02 Å³/atom
Calculated formation energy   0.23 eV per atom
M_tot   0.000 μB per formula unit

a = 5.0011 Å, b = 5.0011 Å, c = 5.0011 Å
α = 90.00°, β = 90.00°, γ = 90.00°
Element x y z (fractional)
Sc1 0.5000 0.0000 0.0000
Sc2 0.0000 0.0000 0.5000
Sc3 0.0000 0.5000 0.0000
Re1 0.0000 0.0000 0.0000
Tl1 0.5000 0.5000 0.5000

Entry 2:
An optimized crystal structure of KAlTl2, computed with GGA-PBEsol.

Summary:
Total energy   -2.423 eV per atom
ΔE to the lowest computed polymorph   97 meV/atom
Calculated volume   27.53 Å³/atom
Calculated formation energy   0.20 eV per atom
M_tot   0.000 μB per formula unit

a = 3.1729 Å, b = 6.4237 Å, c = 6.4237 Å
α = 115.42°, β = 101.21°, γ = 101.21°
Element x y z (fractional)
Al1 0.5000 0.0000 0.0000
K1 0.5000 0.5000 0.5000
Tl1 0.0000 0.5000 0.0000
Tl2 0.0000 0.0000 0.5000

Entry 3:
An optimized crystal structure of FeB2PdN, computed with GGA-PBEsol.

Summary:
Formation energy (no corrections)   1993 meV per atom
Total energy   -5.504 eV per atom
Calculated volume   14.68 Å³/atom
M_tot   4.809 μB per formula unit

a = 3.8390 Å, b = 3.8390 Å, c = 4.9817 Å
α = 90.00°, β = 90.00°, γ = 90.00°
Each line ends with the local moment (μB).
Element x y z (fractional)
Pd1 0.0000 0.0000 0.0000  0.05
N1 0.5000 0.5000 0.5000  0.82
B1 0.0000 0.5000 0.0000  0.01
B2 0.5000 0.0000 0.0000  0.01
Fe1 0.0000 0.0000 0.5000  3.50